(1)
4
Lattice="0.000 3.527 3.527 3.527 0.000 3.527 3.527 3.527 0.000" Properties=species:S:1:pos:R:3 comment="CeMgGaAg (PBE, relaxed)" crystal_system=cubic total_magnetization_mub_per_fu=0.6 total_energy_ev_per_fu=-14.74 pbc="T T T"
Ce 0.000 0.000 0.000
Mg 3.527 3.527 3.527
Ga 1.764 1.764 1.764
Ag 5.291 5.291 5.291

=====

(2)
4
Lattice="-1.711 2.671 5.206 1.711 -2.671 5.206 1.711 2.671 -5.206" Properties=species:S:1:pos:R:3 comment="CaTl2Os (PBE, relaxed)" crystal_system=orthorhombic total_magnetization_mub_per_fu=0.0 total_energy_ev_per_fu=-16.38 pbc="T T T"
Ca 0.000 0.000 0.000
Tl 1.711 0.000 2.980
Tl 0.000 2.671 2.226
Os 0.000 0.000 5.206

=====

(3)
11
Lattice="-2.654 3.767 7.441 2.654 -3.767 7.441 2.654 3.767 -7.441" Properties=species:S:1:pos:R:3 comment="La2SmHg8 (PBE, relaxed)" crystal_system=orthorhombic total_magnetization_mub_per_fu=0.0 total_energy_ev_per_fu=-21.15 pbc="T T T"
La 0.000 0.000 2.904
La 0.000 0.000 11.979
Sm 0.000 0.000 7.441
Hg 2.654 1.571 -2.109
Hg 0.000 1.635 0.000
Hg 2.654 0.000 5.106
Hg 2.654 1.571 2.109
Hg 0.000 2.196 5.333
Hg 0.000 3.767 2.335
Hg 0.000 5.899 0.000
Hg 0.000 2.196 9.550

=====

(4)
8
Lattice="-2.643 2.643 7.038 2.643 -2.643 7.038 2.643 2.643 -7.038" Properties=species:S:1:pos:R:3 comment="SrAg2B (PBE, relaxed)" crystal_system=tetragonal total_magnetization_mub_per_fu=0.0 total_energy_ev_per_fu=-12.71 pbc="T T T"
Sr 2.643 1.322 1.759
Sr 0.000 1.322 5.278
Ag 0.000 0.000 0.000
Ag 1.322 1.322 -3.519
Ag 1.322 -1.322 3.519
Ag 0.000 2.643 0.000
B 2.643 -1.322 5.278
B 0.000 3.965 1.759

=====

(5)
4
Lattice="1.715 0.990 8.742 -1.715 0.990 8.742 0.000 -1.980 8.742" Properties=species:S:1:pos:R:3 comment="Ho2VC (PBE, relaxed)" crystal_system=trigonal total_magnetization_mub_per_fu=3.0 total_energy_ev_per_fu=-25.95 pbc="T T T"
Ho 0.000 0.000 3.007
Ho 0.000 0.000 23.218
V 0.000 0.000 0.000
C 0.000 0.000 13.113

=====

(6)
7
Lattice="5.919 0.000 0.000 0.000 5.919 0.000 0.000 0.000 5.919" Properties=species:S:1:pos:R:3 comment="Sm3ZnBr3 (PBE, relaxed)" formation_energy_uncorrected_kj_per_mol_atoms=-113.9 crystal_system=cubic total_magnetization_mub_per_fu=0.0 total_energy_ev_per_fu=-28.71 pbc="T T T"
Sm 0.000 0.000 2.960
Sm 0.000 2.960 0.000
Sm 2.960 0.000 0.000
Zn 0.000 0.000 0.000
Br 0.000 2.960 2.960
Br 2.960 0.000 2.960
Br 2.960 2.960 0.000